w.
DFT (GGA+U) results for crystalline NiCI2O at its relaxed geometry.

Calculated values
The calculation puts the total moment at 3.3 μB/cell.

Unit cell a=5.5395 b=5.5395 c=3.5187 alpha=90.00 beta=90.00 gamma=90.00
Closest atoms and distances in Å follow each position.
Fractional coordinates of all 5 atoms:
Ni 0.0000 0.0000 0.0000  2 O 1.76
C 0.5000 0.5000 0.5000  8 I 3.28, 2 C 3.52
I 0.0000 0.5000 0.0000  2 Ni 2.77
I 0.5000 0.0000 0.0000  2 Ni 2.77
O 0.0000 0.0000 0.5000  2 Ni 1.76

x.
DFT (GGA+U) results for crystalline NiCI2O at its relaxed geometry.

Calculated values
The calculation puts the total moment at 1.0 μB/cell.

Unit cell a=5.5980 b=5.5980 c=3.1714 alpha=90.00 beta=90.00 gamma=90.00
Closest atoms and distances in Å follow each position.
Fractional coordinates of all 5 atoms:
Ni 0.0000 0.0000 0.0000  2 Ni 3.17, 8 I 3.22
C 0.5000 0.5000 0.5000  2 O 1.59
I 0.0000 0.5000 0.5000  2 C 2.80
I 0.5000 0.0000 0.5000  2 C 2.80
O 0.5000 0.5000 0.0000  2 C 1.59

Which is most stable? The ranking, best first, is x, w.